ScCdNi2 | Alexandria | PBEsol | relaxed; crystal system = orthorhombic; mass density = 7.83 Mg/m³; space-group type = Imm2 (44); energy of formation from the pure elements = -0.262 eV/atom
1.0
-2.943 -0.658 2.234
-0.579 -3.197 -1.704
4.300 -0.011 2.509
Cd Ni Sc
1 2 1
Cartesian
0.973 -2.562 0.527
0.771 -3.860 3.030
-0.192 -1.306 2.515
-1.756 -1.931 0.270